# 1
First-principles (GGA-PBE) data for a geometry-optimized Ac3MgIn structure, as listed in Alexandria via LeMat-Bulk.

a b c (Å): 5.255 7.650 10.130
angles (deg): 90.00 90.00 90.00
Fractional positions:
1 Ac 0.750 0.509 0.710
2 Ac 0.250 0.009 0.290
3 Ac 0.750 0.991 0.710
4 Ac 0.750 0.750 0.062
5 Ac 0.250 0.491 0.290
6 Ac 0.250 0.250 0.938
7 In 0.250 0.750 0.850
8 In 0.750 0.250 0.150
9 Mg 0.250 0.250 0.585
10 Mg 0.750 0.750 0.415

Results
**Calculated formation energy**: -0.010 eV/atom
**Offset from the most stable computed form**: 186 meV/atom
**Space-group type**: Pmmn, No. 59
**Electronic total energy**: -3.34 eV/atom

=====

# 2
First-principles (GGA-PBE) data for a geometry-optimized CrBSb2I structure, as listed in Alexandria via LeMat-Bulk.

a b c (Å): 4.856 4.856 4.999
angles (deg): 90.00 90.00 90.00
Site moments in Bohr magnetons follow the coordinates.
Fractional positions:
1 B 0.000 0.000 0.000  -0.01
2 Sb 0.000 0.500 0.000  -0.13
3 Sb 0.500 0.000 0.000  -0.13
4 I 0.000 0.000 0.500  -0.04
5 Cr 0.500 0.500 0.500  3.96

Results
**Formation energy (no corrections)**: 1.045 eV/atom
**Offset from the most stable computed form**: 0 meV/atom
**Space-group type**: P4/mmm, No. 123
**Electronic total energy**: -4.17 eV/atom

=====

offset from the most stable computed form of number 1 (Ac3MgIn)?
186 meV/atom